Entry from Alexandria: a geometry-optimized Ba2SmZn2O6 structure (PBE-GGA).

Output
Its energy relative to the elements, uncorrected is -23.2 eV/f.u. The density comes out at 5.48 g/cm3. The calculation puts the total energy at -5.826 eV/atom. The density of states at the Fermi level is 24.06 states/eV per cell.

Structure (CIF):
```
data_Ba2SmZn2O6
_chemical_formula_sum 'Ba6 Sm3 Zn6 O18'
_cell_length_a 6.1565
_cell_length_b 6.1565
_cell_length_c 18.0368
_cell_angle_alpha 90.00
_cell_angle_beta 90.00
_cell_angle_gamma 120.00
_space_group_name_H-M_alt 'R -3 m'
_space_group_IT_number 166
_space_group_name_Hall '-R 3 2"'
loop_
_atom_site_label
_atom_site_type_symbol
_atom_site_fract_x
_atom_site_fract_y
_atom_site_fract_z
Ba1 Ba 0.0000 0.0000 0.2084
Sm1 Sm 0.0000 0.0000 0.0000
Zn1 Zn 0.0000 0.0000 0.4226
O1 O 0.0164 0.5082 0.7553
```